ZrTiS | Alexandria via LeMat-Bulk | GGA-PBE | optimized geometry; theoretical density = 5.02 g/cm³; Fermi-level density of states = 0.66 states/eV/atom; polymorph energy (0 for the lowest one) = 287.4 meV/atom; E_form (uncorrected) = -0.71 eV per atom; space-group type = C2/m, No. 12
1.0
3.468 0.000 0.000
0.000 7.815 -0.120
-1.734 -0.974 8.379
Zr Ti S
4 4 4
Cartesian
1.734 4.497 6.730
1.734 6.255 0.908
0.000 0.586 7.351
0.000 2.344 1.529
1.734 2.449 4.161
0.000 0.510 4.313
0.000 4.392 4.098
1.734 6.331 3.946
1.734 4.213 2.370
0.000 6.300 5.735
0.000 2.628 5.889
1.734 0.541 2.524


Ti2TlF | Alexandria via LeMat-Bulk | GGA-PBE | optimized geometry; theoretical density = 6.62 g/cm³; Fermi-level density of states = 1.04 states/eV/atom; polymorph energy (0 for the lowest one) = 0.0 meV/atom; E_form (uncorrected) = -0.46 eV per atom; space-group type = I4_1/amd, No. 141
1.0
4.961 0.000 0.000
0.000 4.961 0.000
2.480 2.480 6.505
Tl F Ti
2 2 4
Cartesian
0.000 0.000 0.000
4.961 2.480 3.253
2.480 2.480 0.000
2.480 4.961 3.253
2.481 1.240 1.626
2.480 3.721 1.626
3.721 4.961 4.879
6.201 4.961 4.879


Please write out number 2 again, unchanged.
Ti2TlF | Alexandria via LeMat-Bulk | GGA-PBE | optimized geometry; theoretical density = 6.62 g/cm³; Fermi-level density of states = 1.04 states/eV/atom; polymorph energy (0 for the lowest one) = 0.0 meV/atom; E_form (uncorrected) = -0.46 eV per atom; space-group type = I4_1/amd, No. 141
1.0
4.961 0.000 0.000
0.000 4.961 0.000
2.480 2.480 6.505
Tl F Ti
2 2 4
Cartesian
0.000 0.000 0.000
4.961 2.480 3.253
2.480 2.480 0.000
2.480 4.961 3.253
2.481 1.240 1.626
2.480 3.721 1.626
3.721 4.961 4.879
6.201 4.961 4.879